# Mg2FeO (PBE with a Hubbard U, relaxed)
# - Final energy: -32.86 eV per cell
data_Mg2FeO
_chemical_formula_sum 'Mg4 Fe2 O2'
_space_group_name_H-M_alt 'P 1'
_space_group_IT_number 1
_cell_length_a 5.927
_cell_length_b 5.927
_cell_length_c 5.927
_cell_angle_alpha 119.03
_cell_angle_beta 119.03
_cell_angle_gamma 91.69
loop_
_space_group_symop_operation_xyz
'x,y,z'
loop_
_atom_site_label
_atom_site_type_symbol
_atom_site_fract_x
_atom_site_fract_y
_atom_site_fract_z
Mg1 Mg 0.375 0.247 0.372
Mg2 Mg 0.753 0.125 0.128
Mg3 Mg 0.875 0.003 0.628
Mg4 Mg 0.997 0.625 0.872
Fe1 Fe 0.250 0.750 0.500
Fe2 Fe 0.500 0.500 0.000
O1 O 0.000 0.000 0.000
O2 O 0.750 0.250 0.500